VASP calculation (PBE) on an optimized crystal structure of MnCrFe2.

Properties
Energy, eV per atom: -8.885
E_form, meV/atom: 44
N(E_F), states/eV per cell: 2.75

The structure in CIF format:
```
data_MnCrFe2
_cell_length_a 4.751
_cell_length_b 4.751
_cell_length_c 4.751
_cell_angle_alpha 144.32
_cell_angle_beta 131.05
_cell_angle_gamma 62.03
_symmetry_space_group_name_H-M 'P 1'
_symmetry_Int_Tables_number 1
loop_
_symmetry_equiv_pos_as_xyz
'x,y,z'
loop_
_atom_site_label
_atom_site_type_symbol
_atom_site_fract_x
_atom_site_fract_y
_atom_site_fract_z
_atom_site_occupancy
Mn1 Mn 0.000 0.000 0.000 1
Cr1 Cr 0.500 0.500 0.000 1
Fe1 Fe 0.253 0.753 0.500 1
Fe2 Fe 0.747 0.247 0.500 1
```